No. 1
This record from Alexandria via LeMat-Bulk describes a relaxed MgAl3Br crystal. The functional is PBEsol.

abc: 5.190 5.190 5.190
angles: 90.00 90.00 90.00
Atoms (fractional coordinates):
Al 0.500 0.000 0.000
Al 0.000 0.500 0.000
Al 0.000 0.000 0.500
Br 0.500 0.500 0.500
Mg 0.000 0.000 0.000

Fermi-level density of states: 0.55 states/eV/atom
Raw formation energy: 0.6662 eV/atom

***

No. 2
This record from Alexandria via LeMat-Bulk describes a relaxed Mg2AlBr crystal. The functional is PBEsol.

abc: 5.165 5.165 5.165
angles: 60.00 60.00 60.00
Atoms (fractional coordinates):
Al 0.500 0.500 0.500
Br 0.250 0.250 0.250
Mg 0.750 0.750 0.750
Mg 0.000 0.000 0.000

Fermi-level density of states: 0.41 states/eV/atom
Raw formation energy: 0.1670 eV/atom
Relative energy among the computed polymorphs: 0.471 eV per atom

***

No. 3
This record from Alexandria via LeMat-Bulk describes a relaxed Mg2AlBr crystal. The functional is PBEsol.

abc: 4.603 4.603 5.383
angles: 115.31 115.31 90.00
Atoms (fractional coordinates):
Al 0.500 0.500 0.000
Mg 0.250 0.750 0.500
Mg 0.750 0.250 0.500
Br 0.000 0.000 0.000

Fermi-level density of states: 0.63 states/eV/atom
Raw formation energy: 0.0530 eV/atom
Relative energy among the computed polymorphs: 0.357 eV per atom

***

Look up the Fermi-level density of states of the first one. 0.55 states/eV/atom